# Zr2TcBAu, optimized geometry, DFT GGA-PBEsol
# **Density of states at the Fermi level**: 5.84 states/eV/f.u.
# **Formation energy**: 1.4313 eV/atom
data_Zr2TcBAu
_symmetry_space_group_name_H-M 'P 4/m m m'
_symmetry_Int_Tables_number 123
_symmetry_space_group_name_Hall '-P 4 2'
_cell_length_a 4.8178
_cell_length_b 4.8178
_cell_length_c 4.9199
_cell_angle_alpha 90.00
_cell_angle_beta 90.00
_cell_angle_gamma 90.00
loop_
_atom_site_label
_atom_site_fract_x
_atom_site_fract_y
_atom_site_fract_z
Zr1 0.0000 0.5000 0.0000
Tc1 0.0000 0.0000 0.0000
B1 0.5000 0.5000 0.5000
Au1 0.0000 0.0000 0.5000

---

# BTeAu2, optimized geometry, DFT GGA-PBEsol
# **Density of states at the Fermi level**: 1.30 states/eV/f.u.
# **ΔE_f (raw)**: 1018 meV/atom
data_BTeAu2
_symmetry_space_group_name_H-M 'F m -3 m'
_symmetry_Int_Tables_number 225
_symmetry_space_group_name_Hall '-F 4 2 3'
_cell_length_a 6.5932
_cell_length_b 6.5932
_cell_length_c 6.5932
_cell_angle_alpha 90.00
_cell_angle_beta 90.00
_cell_angle_gamma 90.00
loop_
_atom_site_label
_atom_site_fract_x
_atom_site_fract_y
_atom_site_fract_z
B1 0.0000 0.0000 0.0000
Te1 0.0000 0.0000 0.5000
Au1 0.2500 0.2500 0.2500

---

# BWAu3, optimized geometry, DFT GGA-PBEsol
# **Density of states at the Fermi level**: 2.85 states/eV/f.u.
# **Formation energy**: 0.9374 eV/atom
data_BWAu3
_symmetry_space_group_name_H-M 'P m -3 m'
_symmetry_Int_Tables_number 221
_symmetry_space_group_name_Hall '-P 4 2 3'
_cell_length_a 4.2648
_cell_length_b 4.2648
_cell_length_c 4.2648
_cell_angle_alpha 90.00
_cell_angle_beta 90.00
_cell_angle_gamma 90.00
loop_
_atom_site_label
_atom_site_fract_x
_atom_site_fract_y
_atom_site_fract_z
B1 0.0000 0.0000 0.0000
W1 0.5000 0.5000 0.5000
Au1 0.0000 0.0000 0.5000

---

# Zn2BAu, optimized geometry, DFT GGA-PBEsol
# **Density of states at the Fermi level**: 1.51 states/eV/f.u.
# **Formation energy**: 0.6457 eV/atom
data_Zn2BAu
_symmetry_space_group_name_H-M 'F m -3 m'
_symmetry_Int_Tables_number 225
_symmetry_space_group_name_Hall '-F 4 2 3'
_cell_length_a 6.0135
_cell_length_b 6.0135
_cell_length_c 6.0135
_cell_angle_alpha 90.00
_cell_angle_beta 90.00
_cell_angle_gamma 90.00
loop_
_atom_site_label
_atom_site_fract_x
_atom_site_fract_y
_atom_site_fract_z
Zn1 0.2500 0.2500 0.2500
B1 0.0000 0.0000 0.0000
Au1 0.0000 0.0000 0.5000